Entry 1:
! Tm2Tl | the Open Quantum Materials Database | PBE | optimized geometry; values from VASP
! symmetry = P6_3/mmc
! total moment = 0.41 μB/f.u.
! calculated density = 11.11 Mg/m³
! electronic total energy = -4.0088 eV per atom
&SYSTEM
  ibrav = 0, nat = 6, ntyp = 2
/
ATOMIC_SPECIES
Tm 168.93 Tm.upf
Tl 204.38 Tl.upf
CELL_PARAMETERS angstrom
5.325 0.000 0.000
-2.663 4.612 0.000
0.000 0.000 6.599
ATOMIC_POSITIONS crystal
Tm 0.000 0.000 0.000
Tm 0.000 0.000 0.500
Tm 0.333 0.667 0.250
Tm 0.667 0.333 0.750
Tl 0.333 0.667 0.750
Tl 0.667 0.333 0.250

***

Entry 2:
! TmTl | the Open Quantum Materials Database | PBE | optimized geometry; values from VASP
! symmetry = P6_3/mmc
! total moment = 0.01 μB/f.u.
! calculated density = 10.43 Mg/m³
! electronic total energy = -3.4659 eV per atom
&SYSTEM
  ibrav = 0, nat = 4, ntyp = 2
/
ATOMIC_SPECIES
Tm 168.93 Tm.upf
Tl 204.38 Tl.upf
CELL_PARAMETERS angstrom
4.617 0.000 0.000
-2.308 3.998 0.000
0.000 0.000 6.440
ATOMIC_POSITIONS crystal
Tm 0.333 0.667 0.250
Tm 0.667 0.333 0.750
Tl 0.000 0.000 0.000
Tl 0.000 0.000 0.500

***

Entry 3:
! Tm5Tl4 | the Open Quantum Materials Database | PBE | optimized geometry; values from VASP
! symmetry = P6_3/mcm
! total moment = 0.02 μB/f.u.
! calculated density = 11.45 Mg/m³
! electronic total energy = -3.8441 eV per atom
&SYSTEM
  ibrav = 0, nat = 18, ntyp = 2
/
ATOMIC_SPECIES
Tm 168.93 Tm.upf
Tl 204.38 Tl.upf
CELL_PARAMETERS angstrom
9.166 0.000 0.000
-4.583 7.938 0.000
0.000 0.000 6.629
ATOMIC_POSITIONS crystal
Tm 0.000 0.289 0.250
Tm 0.000 0.711 0.750
Tm 0.289 0.000 0.250
Tm 0.289 0.289 0.750
Tm 0.333 0.667 0.000
Tm 0.333 0.667 0.500
Tm 0.667 0.333 0.000
Tm 0.667 0.333 0.500
Tm 0.711 0.000 0.750
Tm 0.711 0.711 0.250
Tl 0.000 0.000 0.000
Tl 0.000 0.000 0.500
Tl 0.000 0.375 0.750
Tl 0.000 0.625 0.250
Tl 0.375 0.000 0.750
Tl 0.375 0.375 0.250
Tl 0.625 0.000 0.250
Tl 0.625 0.625 0.750

***

Entry 4:
! TmTl | the Open Quantum Materials Database | PBE | optimized geometry; values from VASP
! symmetry = Fm-3m
! total moment = 0.22 μB/f.u.
! calculated density = 10.56 Mg/m³
! electronic total energy = -3.4185 eV per atom
&SYSTEM
  ibrav = 0, nat = 8, ntyp = 2
/
ATOMIC_SPECIES
Tm 168.93 Tm.upf
Tl 204.38 Tl.upf
CELL_PARAMETERS angstrom
6.170 0.000 0.000
0.000 6.170 0.000
0.000 0.000 6.170
ATOMIC_POSITIONS crystal
Tm 0.000 0.000 0.000
Tm 0.000 0.500 0.500
Tm 0.500 0.000 0.500
Tm 0.500 0.500 0.000
Tl 0.000 0.000 0.500
Tl 0.000 0.500 0.000
Tl 0.500 0.000 0.000
Tl 0.500 0.500 0.500

***

Entry 5:
! TmTl | the Open Quantum Materials Database | PBE | optimized geometry; values from VASP
! symmetry = Pm-3m
! total moment = 0.00 μB/f.u.
! calculated density = 11.89 Mg/m³
! electronic total energy = -3.7049 eV per atom
&SYSTEM
  ibrav = 0, nat = 2, ntyp = 2
/
ATOMIC_SPECIES
Tm 168.93 Tm.upf
Tl 204.38 Tl.upf
CELL_PARAMETERS angstrom
3.736 0.000 0.000
0.000 3.736 0.000
0.000 0.000 3.736
ATOMIC_POSITIONS crystal
Tm 0.000 0.000 0.000
Tl 0.500 0.500 0.500

***

Entry 6:
! TmTlW | the Open Quantum Materials Database | PBE | optimized geometry; values from VASP
! symmetry = F-43m
! total moment = 2.17 μB/f.u.
! calculated density = 11.43 Mg/m³
! electronic total energy = -5.1971 eV per atom
&SYSTEM
  ibrav = 0, nat = 12, ntyp = 3
/
ATOMIC_SPECIES
Tm 168.93 Tm.upf
Tl 204.38 Tl.upf
W 183.84 W.upf
CELL_PARAMETERS angstrom
6.866 0.000 0.000
0.000 6.866 0.000
0.000 0.000 6.866
ATOMIC_POSITIONS crystal
Tm 0.000 0.000 0.000
Tm 0.000 0.500 0.500
Tm 0.500 0.000 0.500
Tm 0.500 0.500 0.000
Tl 0.250 0.250 0.750
Tl 0.250 0.750 0.250
Tl 0.750 0.250 0.250
Tl 0.750 0.750 0.750
W 0.250 0.250 0.250
W 0.250 0.750 0.750
W 0.750 0.250 0.750
W 0.750 0.750 0.250

***

Entry 7:
! TmTlW | the Open Quantum Materials Database | PBE | optimized geometry; values from VASP
! symmetry = F-43m
! total moment = 2.11 μB/f.u.
! calculated density = 11.68 Mg/m³
! electronic total energy = -5.5457 eV per atom
&SYSTEM
  ibrav = 0, nat = 12, ntyp = 3
/
ATOMIC_SPECIES
Tm 168.93 Tm.upf
Tl 204.38 Tl.upf
W 183.84 W.upf
CELL_PARAMETERS angstrom
6.816 0.000 0.000
0.000 6.816 0.000
0.000 0.000 6.816
ATOMIC_POSITIONS crystal
Tm 0.000 0.000 0.000
Tm 0.000 0.500 0.500
Tm 0.500 0.000 0.500
Tm 0.500 0.500 0.000
Tl 0.000 0.000 0.500
Tl 0.000 0.500 0.000
Tl 0.500 0.000 0.000
Tl 0.500 0.500 0.500
W 0.250 0.250 0.750
W 0.250 0.750 0.250
W 0.750 0.250 0.250
W 0.750 0.750 0.750

***

Entry 8:
! YTm2Tl3 | the Open Quantum Materials Database | PBE | optimized geometry; values from VASP
! symmetry = P4/mmm
! total moment = 0.16 μB/f.u.
! calculated density = 10.86 Mg/m³
! electronic total energy = -4.0625 eV per atom
&SYSTEM
  ibrav = 0, nat = 6, ntyp = 3
/
ATOMIC_SPECIES
Y 88.91 Y.upf
Tm 168.93 Tm.upf
Tl 204.38 Tl.upf
CELL_PARAMETERS angstrom
3.625 0.000 0.000
0.000 3.625 0.000
0.000 0.000 12.103
ATOMIC_POSITIONS crystal
Y 0.000 0.000 0.000
Tm 0.000 0.000 0.335
Tm 0.000 0.000 0.665
Tl 0.500 0.500 0.170
Tl 0.500 0.500 0.500
Tl 0.500 0.500 0.830